First-principles (GGA-PBE) data for an optimized crystal structure of ThTa2Si2, as listed in Alexandria.

POSCAR file:
```
ThTa2Si2
1.0
4.102 0.000 0.000
0.000 4.102 0.000
0.000 0.000 11.622
Th Ta Si
2 4 4
Cartesian
0.000 0.000 0.000
2.051 2.051 5.811
0.000 2.051 2.905
0.000 2.051 8.716
2.051 0.000 2.905
2.051 0.000 8.716
0.000 0.000 4.591
0.000 0.000 7.030
2.051 2.051 1.219
2.051 2.051 10.402
```

Output
Final energy: -9.02 eV/atom
Space group: I4/mmm, No. 139
ΔE_f (raw): -3.131 eV per formula unit